Record 1
A relaxed HfHgAu crystal. Source: Alexandria via LeMat-Bulk, functional PBE.

a b c (Å): 4.7928 4.7928 2.9827
angles (deg): 90.00 90.00 120.00
With the nearest neighbours (Å) after each atom.
Space group P-6m2 (No. 187)
One atom of each set of equivalent atoms:
Hf 0.0000 0.0000 0.0000 [1 per cell]  2 Hf 2.98, 6 Au 3.14, 6 Hg 3.14
Hg 0.6667 0.3333 0.5000 [1 per cell]  3 Au 2.77, 2 Hg 2.98
Au 0.3333 0.6667 0.5000 [1 per cell]  3 Hg 2.77, 2 Au 2.98

Summary:
Density in Mg/m³: 16.1
ΔH_f (0 K) in eV per formula unit: -0.6
Final energy in eV/atom: -4.700

=====

Record 2
A relaxed Y4MoRh crystal. Source: Alexandria via LeMat-Bulk, functional PBE.

a b c (Å): 8.4698 8.4698 8.4698
angles (deg): 90.00 90.00 90.00
With the nearest neighbours (Å) after each atom.
Space group F-43m (No. 216)
One atom of each set of equivalent atoms:
Y 0.1250 0.1250 0.1250 [16 per cell]  6 Y 2.99-3.00
Mo 0.2500 0.2500 0.7500 [4 per cell]  12 Y 3.51, 4 Rh 3.67
Rh 0.0000 0.0000 0.5000 [4 per cell]  12 Y 3.51, 4 Mo 3.67

Summary:
Density in Mg/m³: 6.1
ΔH_f (0 K) in eV per formula unit: 5.6
Final energy in eV/atom: -6.409

=====

Record 3
A relaxed TlSiN2F crystal. Source: Alexandria via LeMat-Bulk, functional PBE.

a b c (Å): 3.7644 3.7644 3.8011
angles (deg): 90.00 90.00 90.00
With the nearest neighbours (Å) after each atom.
Space group P4/mmm (No. 123)
One atom of each set of equivalent atoms:
Tl 0.0000 0.0000 0.0000 [1 per cell]  4 F 2.66, 8 N 2.67
Si 0.5000 0.5000 0.5000 [1 per cell]  4 N 1.88, 2 F 1.90
N 0.0000 0.5000 0.5000 [2 per cell]  2 Si 1.88
F 0.5000 0.5000 0.0000 [1 per cell]  2 Si 1.90

Summary:
Formation energy without anion corrections in eV/atom: -0.1498
Density in Mg/m³: 8.6
Final energy in eV/atom: -5.412

=====

Record 4
A relaxed MnGe2Se crystal. Source: Alexandria via LeMat-Bulk, functional PBE.

a b c (Å): 5.9700 5.9700 11.9997
angles (deg): 90.00 90.00 90.00
With the nearest neighbours (Å) after each atom.
Space group I-42d (No. 122)
One atom of each set of equivalent atoms:
Mn 0.0000 0.0000 0.0000 [4 per cell]  4 Ge 2.50
Ge 0.2245 0.2500 0.1250 [8 per cell]  2 Mn 2.50, 2 Se 2.68
Se 0.0000 0.0000 0.5000 [4 per cell]  4 Ge 2.68

Summary:
Formation energy without anion corrections in eV/atom: 0.3379
Density in Mg/m³: 4.3
Final energy in eV/atom: -5.134

=====

Record 5
A relaxed AsIr2Se crystal. Source: Alexandria via LeMat-Bulk, functional PBE.

a b c (Å): 2.8776 4.6531 9.8165
angles (deg): 90.00 90.00 90.00
With the nearest neighbours (Å) after each atom.
Space group Imm2 (No. 44)
One atom of each set of equivalent atoms:
As 0.0000 0.0000 0.0000 [2 per cell]  6 Ir 2.64-2.75, 2 As 2.88
Ir 0.0000 0.0000 0.4718 [2 per cell]  2 Se 2.65, 4 As 2.75, 4 Ir 2.81-2.88
Ir 0.0000 0.5000 0.7255 [2 per cell]  2 As 2.64, 4 Se 2.75, 4 Ir 2.81-2.88
Se 0.0000 0.5000 0.1980 [2 per cell]  6 Ir 2.65-2.75, 2 Se 2.88

Summary:
Formation energy without anion corrections in eV/atom: 0.3485
Density in Mg/m³: 13.6
Final energy in eV/atom: -6.116

=====

Record 6
A relaxed CaCdSe2 crystal. Source: Alexandria via LeMat-Bulk, functional PBE.

a b c (Å): 4.0874 4.0874 21.0014
angles (deg): 90.00 90.00 120.00
With the nearest neighbours (Å) after each atom.
Space group R3m (No. 160, hexagonal axes)
One atom of each set of equivalent atoms:
Ca 0.0000 0.0000 0.0000 [3 per cell]  6 Se 3.00-3.01
Cd 0.0000 0.0000 0.1682 [3 per cell]  6 Se 2.86-2.89
Se 0.0000 0.0000 0.5786 [3 per cell]  3 Cd 2.86, 3 Ca 3.00
Se 0.0000 0.0000 0.7553 [3 per cell]  3 Cd 2.89, 3 Ca 3.01

Summary:
Formation energy without anion corrections in eV/atom: -1.1637
Density in Mg/m³: 5.1
Final energy in eV/atom: -3.635